# 1
The following is a PBE calculation of a relaxed ZrHgSeN2 crystal, from Alexandria via LeMat-Bulk.

Summary:
volume = 90 Å³ per cell
DOS(E_F) = 3.60 states/eV per cell
energy = -21.52 eV/cell
excess energy over the best structure of this formula in the dataset = 1.159 eV per atom
uncorrected formation energy = 1.492 eV/atom

Unit cell a=4.168 b=4.168 c=5.170 alpha=90.00 beta=90.00 gamma=90.00
Fractional positions:
Zr  0.500  0.500  0.500
Hg  0.000  0.000  0.000
Se  0.000  0.000  0.500
N  0.000  0.500  0.000
N  0.500  0.000  0.000

=====

# 2
The following is a PBE calculation of a relaxed MgU2Tl3Te6 crystal, from Alexandria via LeMat-Bulk.

Summary:
volume = 415 Å³ per cell
DOS(E_F) = 15.63 states/eV per cell
energy = -56.87 eV/cell
uncorrected formation energy = -0.562 eV/atom

Unit cell a=7.622 b=7.622 c=8.634 alpha=98.49 beta=98.49 gamma=120.00
Last column: magnetic moment on the atom in μB.
Fractional positions:
Tl  0.170  0.830  0.500  -0.01
Tl  0.500  0.500  0.500  -0.01
Tl  0.830  0.170  0.500  -0.01
Mg  0.000  0.000  0.000  0.00
U  0.334  0.666  0.000  2.52
U  0.666  0.334  0.000  2.52
Te  0.070  0.398  0.210  -0.06
Te  0.398  0.070  0.210  -0.06
Te  0.742  0.742  0.212  -0.05
Te  0.930  0.602  0.790  -0.06
Te  0.602  0.930  0.790  -0.06
Te  0.258  0.258  0.788  -0.05

=====

# 3
The following is a PBE calculation of a relaxed Dy8Cu2Pt crystal, from Alexandria via LeMat-Bulk.

Summary:
volume = 284 Å³ per cell
DOS(E_F) = 9.59 states/eV per cell
E_form = -0.311 eV per atom
energy = -54.47 eV/cell
excess energy over the best structure of this formula in the dataset = 0.000 eV per atom

Unit cell a=5.060 b=6.666 c=9.055 alpha=103.72 beta=106.23 gamma=90.00
Fractional positions:
Dy  0.333  0.022  0.667
Dy  0.667  0.978  0.333
Dy  0.203  0.335  0.406
Dy  0.590  0.446  0.180
Dy  0.797  0.665  0.594
Dy  0.033  0.784  0.066
Dy  0.967  0.216  0.934
Dy  0.410  0.554  0.820
Pt  0.500  0.000  0.000
Cu  0.188  0.736  0.375
Cu  0.812  0.264  0.625

=====

# 4
The following is a PBE calculation of a relaxed Ti2Cu2As crystal, from Alexandria via LeMat-Bulk.

Summary:
volume = 163 Å³ per cell
DOS(E_F) = 8.95 states/eV per cell
E_form = -0.079 eV per atom
energy = -58.05 eV/cell
excess energy over the best structure of this formula in the dataset = 0.097 eV per atom

Unit cell a=6.556 b=6.556 c=3.803 alpha=90.00 beta=90.00 gamma=90.00
Fractional positions:
As  0.500  0.500  0.000
As  0.000  0.000  0.000
Ti  0.843  0.657  0.000
Ti  0.343  0.843  0.000
Ti  0.157  0.343  0.000
Ti  0.657  0.157  0.000
Cu  0.865  0.365  0.500
Cu  0.635  0.865  0.500
Cu  0.135  0.635  0.500
Cu  0.365  0.135  0.500

=====

# 5
The following is a PBE calculation of a relaxed Sr2WSe crystal, from Alexandria via LeMat-Bulk.

Summary:
volume = 120 Å³ per cell
DOS(E_F) = 2.37 states/eV per cell
energy = -18.62 eV/cell
uncorrected formation energy = 0.296 eV/atom

Unit cell a=3.983 b=3.983 c=8.999 alpha=77.27 beta=77.27 gamma=59.96
Last column: magnetic moment on the atom in μB.
Fractional positions:
Sr  0.508  0.508  0.476  0.03
Sr  0.992  0.992  0.024  0.03
Se  0.250  0.250  0.250  0.02
W  0.750  0.750  0.750  1.78

=====

# 6
The following is a PBE calculation of a relaxed TlSn crystal, from Alexandria via LeMat-Bulk.

Summary:
volume = 906 Å³ per cell
DOS(E_F) = 12.50 states/eV per cell
E_form = 0.368 eV per atom
energy = -45.06 eV/cell

Unit cell a=9.677 b=9.677 c=9.677 alpha=90.00 beta=90.00 gamma=90.00
Fractional positions:
Sn  0.885  0.115  0.885
Sn  0.615  0.615  0.615
Sn  0.885  0.885  0.115
Sn  0.385  0.385  0.615
Sn  0.615  0.385  0.385
Sn  0.115  0.115  0.115
Sn  0.115  0.885  0.885
Sn  0.385  0.615  0.385
Tl  0.700  0.300  0.700
Tl  0.200  0.800  0.200
Tl  0.300  0.300  0.300
Tl  0.200  0.200  0.800
Tl  0.800  0.200  0.200
Tl  0.800  0.800  0.800
Tl  0.300  0.700  0.700
Tl  0.700  0.700  0.300

=====

What did the third record say?
The following is a PBE calculation of a relaxed Dy8Cu2Pt crystal, from Alexandria via LeMat-Bulk.

Summary:
volume = 284 Å³ per cell
DOS(E_F) = 9.59 states/eV per cell
E_form = -0.311 eV per atom
energy = -54.47 eV/cell
excess energy over the best structure of this formula in the dataset = 0.000 eV per atom

Unit cell a=5.060 b=6.666 c=9.055 alpha=103.72 beta=106.23 gamma=90.00
Fractional positions:
Dy  0.333  0.022  0.667
Dy  0.667  0.978  0.333
Dy  0.203  0.335  0.406
Dy  0.590  0.446  0.180
Dy  0.797  0.665  0.594
Dy  0.033  0.784  0.066
Dy  0.967  0.216  0.934
Dy  0.410  0.554  0.820
Pt  0.500  0.000  0.000
Cu  0.188  0.736  0.375
Cu  0.812  0.264  0.625

=====

- Number 1 is which compound?
  ZrHgSeN2

=====

- What is the volume in the first record?
  90 Å³ per cell